a:
The following is a DFT calculation (PBE) of a geometry-optimized ErTmMgCu structure.

Results
The total magnetic moment is 0.000 μB/f.u. Its crystal system is cubic.

```
data_ErTmMgCu
_cell_length_a 7.170
_cell_length_b 7.170
_cell_length_c 7.170
_cell_angle_alpha 90.00
_cell_angle_beta 90.00
_cell_angle_gamma 90.00
_symmetry_space_group_name_H-M 'F -4 3 m'
_symmetry_Int_Tables_number 216
_symmetry_space_group_name_Hall 'F -4 2 3'
loop_
_atom_site_label
_atom_site_type_symbol
_atom_site_fract_x
_atom_site_fract_y
_atom_site_fract_z
Er1 Er 0.000 0.000 0.000
Tm1 Tm 0.000 0.000 0.500
Mg1 Mg 0.250 0.250 0.250
Cu1 Cu 0.250 0.250 0.750
```



b:
The following is a DFT calculation (PBE) of a geometry-optimized ErTmMgCu structure.

Results
The total magnetic moment is 0.000 μB/f.u. Its crystal system is tetragonal.

```
data_ErTmMgCu
_cell_length_a 3.437
_cell_length_b 3.437
_cell_length_c 7.997
_cell_angle_alpha 90.00
_cell_angle_beta 90.00
_cell_angle_gamma 90.00
_symmetry_space_group_name_H-M 'P 4 m m'
_symmetry_Int_Tables_number 99
_symmetry_space_group_name_Hall 'P 4 -2'
loop_
_atom_site_label
_atom_site_type_symbol
_atom_site_fract_x
_atom_site_fract_y
_atom_site_fract_z
Er1 Er 0.000 0.000 0.000
Tm1 Tm 0.000 0.000 0.581
Mg1 Mg 0.500 0.500 0.292
Cu1 Cu 0.500 0.500 0.788
```



Result of the stability comparison: a is the least stable of them.